Record 1
{
  "formula": "Na8LiHg6",
  "functional": "PBE-GGA",
  "state": "relaxed",
  "sg": "R-3, No. 148",
  "formation_enthalpy_0k_kj_per_mol_atoms": -18,
  "lattice_angstrom": [[4.418, 2.551, 6.376], [-4.418, 2.551, 6.376], [0.000, -5.102, 6.376]],
  "species": ["Na", "Na", "Na", "Na", "Na", "Na", "Na", "Na", "Li", "Hg", "Hg", "Hg", "Hg", "Hg", "Hg"],
  "frac_coords": [[0.010, 0.400, 0.735], [0.159, 0.159, 0.159], [0.265, 0.990, 0.600], [0.400, 0.735, 0.010], [0.600, 0.265, 0.990], [0.735, 0.010, 0.400], [0.841, 0.841, 0.841], [0.990, 0.600, 0.265], [0.500, 0.500, 0.500], [0.150, 0.758, 0.449], [0.242, 0.551, 0.850], [0.449, 0.150, 0.758], [0.551, 0.850, 0.242], [0.758, 0.449, 0.150], [0.850, 0.242, 0.551]]
}

---

Record 2
{
  "formula": "LiRu2",
  "functional": "PBE-GGA",
  "state": "relaxed",
  "sg": "I4_1/amd, No. 141",
  "formation_enthalpy_0k_kj_per_mol_atoms": 29,
  "lattice_angstrom": [[-1.930, 1.930, 10.642], [1.930, -1.930, 10.642], [1.930, 1.930, -10.642]],
  "species": ["Li", "Li", "Li", "Li", "Ru", "Ru", "Ru", "Ru", "Ru", "Ru", "Ru", "Ru"],
  "frac_coords": [[0.292, 0.542, 0.750], [0.458, 0.708, 0.750], [0.542, 0.292, 0.250], [0.708, 0.458, 0.250], [0.039, 0.789, 0.250], [0.132, 0.382, 0.750], [0.211, 0.961, 0.250], [0.382, 0.132, 0.250], [0.618, 0.868, 0.750], [0.789, 0.039, 0.750], [0.868, 0.618, 0.250], [0.961, 0.211, 0.750]]
}

---

Record 3
{
  "formula": "ScCd2Hg2",
  "functional": "PBE-GGA",
  "state": "relaxed",
  "sg": "Cmmm, No. 65",
  "formation_enthalpy_0k_kj_per_mol_atoms": -15,
  "polymorph_energy_ev_per_atom": 0.000,
  "lattice_angstrom": [[1.661, -10.139, 0.000], [1.661, 10.139, 0.000], [0.000, 0.000, 3.394]],
  "species": ["Sc", "Cd", "Cd", "Hg", "Hg"],
  "frac_coords": [[0.000, 0.000, 0.000], [0.190, 0.810, 0.000], [0.810, 0.190, 0.000], [0.407, 0.593, 0.500], [0.593, 0.407, 0.500]]
}

---

Record 4
{
  "formula": "Nd5Te4Br",
  "functional": "PBE-GGA",
  "state": "relaxed",
  "sg": "I4/mmm, No. 139",
  "polymorph_energy_ev_per_atom": 0.012,
  "raw_formation_energy_ev_per_atom": -1.3246,
  "lattice_angstrom": [[-2.195, 2.195, 16.611], [2.195, -2.195, 16.611], [2.195, 2.195, -16.611]],
  "species": ["Nd", "Nd", "Nd", "Nd", "Nd", "Te", "Te", "Te", "Te", "Br"],
  "frac_coords": [[0.000, 0.000, 0.000], [0.189, 0.189, 0.000], [0.386, 0.386, 0.000], [0.614, 0.614, 0.000], [0.811, 0.811, 0.000], [0.093, 0.093, 0.000], [0.291, 0.291, 0.000], [0.709, 0.709, 0.000], [0.907, 0.907, 0.000], [0.500, 0.500, 0.000]]
}

---

Record 5
{
  "formula": "Sc3Mn3B8",
  "functional": "PBE-GGA",
  "state": "relaxed",
  "sg": "Immm, No. 71",
  "formation_enthalpy_0k_kj_per_mol_atoms": -35,
  "lattice_angstrom": [[-1.567, 3.610, 6.121], [1.567, -3.610, 6.121], [1.567, 3.610, -6.121]],
  "species": ["Sc", "Sc", "Sc", "Mn", "Mn", "Mn", "B", "B", "B", "B", "B", "B", "B", "B"],
  "frac_coords": [[0.000, 0.000, 0.000], [0.286, 0.286, 0.000], [0.714, 0.714, 0.000], [0.284, 0.500, 0.784], [0.500, 0.000, 0.500], [0.716, 0.500, 0.216], [0.009, 0.641, 0.368], [0.129, 0.873, 0.256], [0.273, 0.641, 0.632], [0.383, 0.127, 0.256], [0.617, 0.873, 0.744], [0.727, 0.359, 0.368], [0.871, 0.127, 0.744], [0.991, 0.359, 0.632]]
}

---

Record 6
{
  "formula": "RbSrCuCl4",
  "functional": "PBE-GGA",
  "state": "relaxed",
  "sg": "P2_1/m, No. 11",
  "raw_formation_energy_ev_per_atom": -1.7407,
  "lattice_angstrom": [[6.742, 0.000, 0.000], [0.000, 6.965, 0.000], [-2.938, 0.000, 8.543]],
  "species": ["Rb", "Rb", "Sr", "Sr", "Cu", "Cu", "Cl", "Cl", "Cl", "Cl", "Cl", "Cl", "Cl", "Cl"],
  "frac_coords": [[0.245, 0.250, 0.439], [0.755, 0.750, 0.561], [0.269, 0.250, 0.946], [0.731, 0.750, 0.054], [0.275, 0.750, 0.183], [0.725, 0.250, 0.817], [0.066, 0.750, 0.920], [0.082, 0.750, 0.350], [0.486, 0.504, 0.783], [0.486, 0.996, 0.783], [0.514, 0.004, 0.217], [0.514, 0.496, 0.217], [0.918, 0.250, 0.650], [0.934, 0.250, 0.080]]
}

---

Record 7
{
  "formula": "Ti4FeGe4",
  "functional": "PBE-GGA",
  "state": "relaxed",
  "sg": "I4/m, No. 87",
  "formation_enthalpy_0k_kj_per_mol_atoms": -12,
  "lattice_angstrom": [[-3.935, 3.935, 2.570], [3.935, -3.935, 2.570], [3.935, 3.935, -2.570]],
  "species": ["Ti", "Ti", "Ti", "Ti", "Fe", "Ge", "Ge", "Ge", "Ge"],
  "frac_coords": [[0.095, 0.712, 0.807], [0.288, 0.095, 0.383], [0.712, 0.905, 0.617], [0.905, 0.288, 0.193], [0.500, 0.500, 0.000], [0.209, 0.410, 0.619], [0.410, 0.791, 0.201], [0.590, 0.209, 0.799], [0.791, 0.590, 0.381]]
}

---

Record 8
{
  "formula": "AcCeEuBi",
  "functional": "PBE-GGA",
  "state": "relaxed",
  "sg": "F-43m, No. 216",
  "formation_enthalpy_0k_kj_per_mol_atoms": -10,
  "lattice_angstrom": [[0.000, 4.079, 4.079], [4.079, 0.000, 4.079], [4.079, 4.079, 0.000]],
  "species": ["Ac", "Ce", "Eu", "Bi"],
  "frac_coords": [[0.000, 0.000, 0.000], [0.750, 0.750, 0.750], [0.250, 0.250, 0.250], [0.500, 0.500, 0.500]]
}

---

Number 1: D(E_F) 8.975 states/eV/cell, M_tot 0.00 Bohr magnetons per cell, raw total energy -1.13 eV per atom. Number 2: D(E_F) 13.933 states/eV/cell, M_tot 0.00 Bohr magnetons per cell, raw total energy -6.52 eV per atom. Number 3: D(E_F) 3.417 states/eV/cell, M_tot 0.44 Bohr magnetons per cell, raw total energy -1.90 eV per atom. Number 4: D(E_F) 5.236 states/eV/cell, M_tot 0.00 Bohr magnetons per cell, raw total energy -5.13 eV per atom. Number 5: D(E_F) 6.638 states/eV/cell, M_tot 1.11 Bohr magnetons per cell, raw total energy -7.50 eV per atom. Number 6: D(E_F) 0.000 states/eV/cell, M_tot 0.29 Bohr magnetons per cell, raw total energy -3.76 eV per atom. Number 7: D(E_F) 6.604 states/eV/cell, M_tot 1.68 Bohr magnetons per cell, raw total energy -6.63 eV per atom. Number 8: D(E_F) 11.075 states/eV/cell, M_tot 6.76 Bohr magnetons per cell, raw total energy -6.15 eV per atom.